# Nd6TeSe5, relaxed, DFT PBE
data_Nd6TeSe5
_chemical_formula_sum 'Nd12 Te2 Se10'
_cell_length_a 7.4072
_cell_length_b 12.8418
_cell_length_c 7.4198
_cell_angle_alpha 90.00
_cell_angle_beta 109.57
_cell_angle_gamma 90.00
_symmetry_space_group_name_H-M 'C 1 2/m 1'
_symmetry_Int_Tables_number 12
loop_
_symmetry_equiv_pos_as_xyz
'x,y,z'
'-x,-y,-z'
'-x,y,-z'
'x,-y,z'
'x+1/2,y+1/2,z'
'-x+1/2,-y+1/2,-z'
'-x+1/2,y+1/2,-z'
'x+1/2,-y+1/2,z'
loop_
_atom_site_label
_atom_site_type_symbol
_atom_site_fract_x
_atom_site_fract_y
_atom_site_fract_z
Nd1 Nd 0.2388 0.1738 0.2336
Nd2 Nd 0.2396 0.0000 0.7599
Te1 Te 0.0000 0.5000 0.5000
Se1 Se 0.0000 0.0000 0.0000
Se2 Se 0.0000 0.1677 0.5000
Se3 Se 0.0000 0.3403 0.0000
# Total magnetization (μB/f.u.): 0.00
# E_tot (eV/atom): -5.860
# DOS(E_F) (states/eV/cell): 11.3